1.
The following is a DFT calculation (GGA-PBE) of a relaxed structure of NiHgS.

Computed properties:
Energy in eV/atom: -3.60
Spin magnetization in Bohr magnetons per cell: 0.00
Raw formation energy in eV per atom: -0.192

Unit cell a=5.167 b=3.133 c=7.254 alpha=90.00 beta=90.00 gamma=90.00
Fractional coordinates of all 6 atoms:
S 0.250 0.000 0.866
Hg 0.250 0.500 0.374
Hg 0.750 0.500 0.626
Ni 0.000 0.500 0.000
Ni 0.500 0.500 0.000
S 0.750 0.000 0.134


2.
The following is a DFT calculation (GGA-PBE) of a relaxed structure of NiHgS.

Computed properties:
Energy in eV/atom: -3.47
Spin magnetization in Bohr magnetons per cell: 0.00
Raw formation energy in eV per atom: -0.064

Unit cell a=2.944 b=6.224 c=6.739 alpha=90.18 beta=100.98 gamma=90.00
Fractional coordinates of all 6 atoms:
Ni 0.687 0.711 0.769
S 0.234 0.961 0.876
Ni 0.687 0.211 0.770
Hg 0.993 0.708 0.367
Hg 0.988 0.208 0.367
S 0.234 0.461 0.876


3.
The following is a DFT calculation (GGA-PBE) of a relaxed structure of NiHg2S.

Computed properties:
Energy in eV/atom: -2.22
Spin magnetization in Bohr magnetons per cell: 0.00
Raw formation energy in eV per atom: 0.409

Unit cell a=7.578 b=7.578 c=6.029 alpha=51.06 beta=51.06 gamma=90.00
Fractional coordinates of all 8 atoms:
S 0.250 0.750 0.500
Ni 0.000 0.000 0.000
Hg 0.640 0.125 0.250
Hg 0.375 0.360 0.750
Ni 0.750 0.250 0.500
S 0.500 0.500 0.000
Hg 0.110 0.625 0.250
Hg 0.875 0.890 0.750


4.
The following is a DFT calculation (GGA-PBE) of a relaxed structure of NiHg2S2.

Computed properties:
Energy in eV/atom: -2.73
Spin magnetization in Bohr magnetons per cell: 0.00
Raw formation energy in eV per atom: 0.198

Unit cell a=6.312 b=6.312 c=4.988 alpha=90.00 beta=90.00 gamma=90.00
Fractional coordinates of all 10 atoms:
S 0.697 0.197 0.000
Hg 0.663 0.837 0.500
S 0.197 0.303 0.000
S 0.803 0.697 0.000
Hg 0.337 0.163 0.500
Hg 0.837 0.337 0.500
Ni 0.000 0.000 0.000
Ni 0.500 0.500 0.000
S 0.303 0.803 0.000
Hg 0.163 0.663 0.500


5.
The following is a DFT calculation (GGA-PBE) of a relaxed structure of NiHgS.

Computed properties:
Energy in eV/atom: -3.50
Spin magnetization in Bohr magnetons per cell: 0.00
Raw formation energy in eV per atom: -0.092

Unit cell a=5.833 b=3.480 c=6.040 alpha=90.00 beta=110.29 gamma=90.00
Fractional coordinates of all 6 atoms:
Ni 0.144 0.000 0.539
Hg 0.787 0.500 0.587
Ni 0.144 0.500 0.039
S 0.299 0.500 0.424
Hg 0.787 0.000 0.087
S 0.299 0.000 0.924


6.
The following is a DFT calculation (GGA-PBE) of a relaxed structure of NiHgS.

Computed properties:
Energy in eV/atom: -3.55
Spin magnetization in Bohr magnetons per cell: 0.00
Raw formation energy in eV per atom: -0.145

Unit cell a=3.328 b=6.114 c=6.444 alpha=116.94 beta=90.15 gamma=105.73
Fractional coordinates of all 6 atoms:
Ni 0.558 0.063 0.703
S 0.426 0.801 0.855
S 0.193 0.331 0.916
Hg 0.897 0.744 0.350
Ni 0.803 0.553 0.848
Hg 0.635 0.225 0.354


7.
The following is a DFT calculation (GGA-PBE) of a relaxed structure of NiHgS.

Computed properties:
Energy in eV/atom: -3.59
Spin magnetization in Bohr magnetons per cell: 0.00
Raw formation energy in eV per atom: -0.182

Unit cell a=3.201 b=5.170 c=15.222 alpha=90.00 beta=102.42 gamma=90.00
Fractional coordinates of all 12 atoms:
Hg 0.829 0.500 0.085
Ni 0.000 0.250 0.750
Ni 0.000 0.250 0.250
S 0.568 0.000 0.817
Ni 0.000 0.750 0.250
S 0.568 0.500 0.317
Ni 0.000 0.750 0.750
S 0.432 0.000 0.183
Hg 0.171 0.500 0.915
Hg 0.171 0.000 0.415
S 0.432 0.500 0.683
Hg 0.829 0.000 0.585


8.
The following is a DFT calculation (GGA-PBE) of a relaxed structure of Ni2HgS.

Computed properties:
Energy in eV/atom: -4.03
Spin magnetization in Bohr magnetons per cell: 0.00
Raw formation energy in eV per atom: -0.032

Unit cell a=3.757 b=3.757 c=6.728 alpha=73.79 beta=73.79 gamma=60.00
Fractional coordinates of all 4 atoms:
Ni 0.138 0.138 0.586
S 0.500 0.500 0.500
Hg 0.000 0.000 0.000
Ni 0.862 0.862 0.414


9.
The following is a DFT calculation (GGA-PBE) of a relaxed structure of NiHgS.

Computed properties:
Energy in eV/atom: -3.54
Spin magnetization in Bohr magnetons per cell: 0.00
Raw formation energy in eV per atom: -0.138

Unit cell a=3.319 b=5.743 c=6.019 alpha=84.53 beta=75.33 gamma=83.32
Fractional coordinates of all 6 atoms:
Ni 0.848 0.684 0.294
Hg 0.983 0.373 0.949
Hg 0.360 0.327 0.449
S 0.625 0.872 0.618
Ni 0.007 0.864 0.870
S 0.380 0.905 0.129


10.
The following is a DFT calculation (GGA-PBE) of a relaxed structure of NiHgS.

Computed properties:
Energy in eV/atom: -3.52
Spin magnetization in Bohr magnetons per cell: 0.00
Raw formation energy in eV per atom: -0.116

Unit cell a=5.810 b=3.563 c=11.548 alpha=90.00 beta=100.80 gamma=90.00
Fractional coordinates of all 12 atoms:
Ni 0.750 0.000 0.441
Hg 0.526 0.000 0.220
Ni 0.750 0.500 0.941
S 0.071 0.000 0.375
S 0.591 0.500 0.498
Ni 0.287 0.000 0.851
Hg 0.526 0.500 0.720
S 0.071 0.500 0.875
Ni 0.287 0.500 0.351
Hg 0.084 0.000 0.629
Hg 0.084 0.500 0.129
S 0.591 0.000 0.998


11.
The following is a DFT calculation (GGA-PBE) of a relaxed structure of Ni2HgS.

Computed properties:
Energy in eV/atom: -3.60
Spin magnetization in Bohr magnetons per cell: 0.00
Raw formation energy in eV per atom: 0.394

Unit cell a=4.354 b=4.354 c=4.354 alpha=60.00 beta=60.00 gamma=60.00
Fractional coordinates of all 4 atoms:
Hg 0.500 0.500 0.500
Ni 0.250 0.250 0.250
S 0.000 0.000 0.000
Ni 0.750 0.750 0.750


12.
The following is a DFT calculation (GGA-PBE) of a relaxed structure of NiHgSe2S.

Computed properties:
Energy in eV/atom: -3.14
Spin magnetization in Bohr magnetons per cell: 0.00
Raw formation energy in eV per atom: 0.298

Unit cell a=5.016 b=4.184 c=5.016 alpha=90.00 beta=90.00 gamma=90.00
Fractional coordinates of all 5 atoms:
Se 0.500 0.000 0.000
S 0.000 0.500 0.000
Ni 0.000 0.000 0.000
Se 0.000 0.000 0.500
Hg 0.500 0.500 0.500


13.
The following is a DFT calculation (GGA-PBE) of a relaxed structure of SiNi2HgS.

Computed properties:
Energy in eV/atom: -2.87
Spin magnetization in Bohr magnetons per cell: 0.00
Raw formation energy in eV per atom: 1.409

Unit cell a=4.780 b=4.780 c=4.848 alpha=90.00 beta=90.00 gamma=90.00
Fractional coordinates of all 5 atoms:
Ni 0.500 0.000 0.000
Ni 0.000 0.500 0.000
Hg 0.000 0.000 0.000
S 0.000 0.000 0.500
Si 0.500 0.500 0.500


14.
The following is a DFT calculation (GGA-PBE) of a relaxed structure of Tl2NiHgS.

Computed properties:
Energy in eV/atom: -3.07
Spin magnetization in Bohr magnetons per cell: 0.00
Raw formation energy in eV per atom: -0.080

Unit cell a=5.599 b=5.599 c=4.187 alpha=90.00 beta=90.00 gamma=90.00
Fractional coordinates of all 5 atoms:
Ni 0.000 0.000 0.000
Hg 0.500 0.500 0.500
Tl 0.500 0.000 0.000
Tl 0.000 0.500 0.000
S 0.000 0.000 0.500


15.
The following is a DFT calculation (GGA-PBE) of a relaxed structure of U2Ni2HgS6.

Computed properties:
Energy in eV/atom: -6.14
Spin magnetization in Bohr magnetons per cell: 0.13
Raw formation energy in eV per atom: -0.759

Unit cell a=6.916 b=7.452 c=7.739 alpha=124.28 beta=90.03 gamma=62.45
Last column: magnetic moment on the atom in μB.
Fractional coordinates of all 11 atoms:
U 0.163 0.675 0.168  -0.47
S 0.584 0.326 0.085  0.04
S 0.087 0.328 0.087  0.04
Ni 0.879 0.240 0.187  0.26
U 0.837 0.325 0.832  -0.47
S 0.902 0.194 0.436  0.04
S 0.416 0.674 0.915  0.04
S 0.098 0.806 0.564  0.04
Ni 0.121 0.760 0.813  0.26
Hg 0.500 0.000 0.500  0.01
S 0.913 0.672 0.913  0.04


16.
The following is a DFT calculation (GGA-PBE) of a relaxed structure of U2NiHg2S6.

Computed properties:
Energy in eV/atom: -5.60
Spin magnetization in Bohr magnetons per cell: 3.75
Raw formation energy in eV per atom: -0.719

Unit cell a=6.512 b=6.512 c=9.846 alpha=97.48 beta=97.48 gamma=120.02
Last column: magnetic moment on the atom in μB.
Fractional coordinates of all 11 atoms:
U 0.333 0.667 0.500  1.25
S 0.741 0.741 0.646  0.00
S 0.624 0.942 0.353  0.00
S 0.942 0.624 0.353  0.00
S 0.376 0.058 0.647  0.00
Hg 0.168 0.832 0.000  0.00
S 0.058 0.376 0.647  0.00
Ni 0.000 0.000 0.500  1.03
Hg 0.832 0.168 0.000  0.00
S 0.259 0.259 0.354  0.00
U 0.667 0.333 0.500  1.25


17.
The following is a DFT calculation (GGA-PBE) of a relaxed structure of Zr2NiHg2S6.

Computed properties:
Energy in eV/atom: -5.18
Spin magnetization in Bohr magnetons per cell: 0.01
Raw formation energy in eV per atom: -0.798

Unit cell a=6.215 b=6.215 c=9.575 alpha=101.20 beta=101.20 gamma=121.58
Fractional coordinates of all 11 atoms:
S 0.795 0.795 0.661
S 0.098 0.407 0.662
S 0.902 0.593 0.338
S 0.593 0.902 0.338
Hg 0.253 0.747 0.000
Zr 0.336 0.664 0.500
Ni 0.000 0.000 0.500
Hg 0.747 0.253 0.000
S 0.205 0.205 0.339
S 0.407 0.098 0.662
Zr 0.664 0.336 0.500


18.
The following is a DFT calculation (GGA-PBE) of a relaxed structure of ZrNiHg2S.

Computed properties:
Energy in eV/atom: -3.54
Spin magnetization in Bohr magnetons per cell: 0.00
Raw formation energy in eV per atom: 0.273

Unit cell a=5.056 b=4.152 c=5.056 alpha=90.00 beta=90.00 gamma=90.00
Fractional coordinates of all 5 atoms:
S 0.000 0.500 0.000
Zr 0.500 0.500 0.500
Ni 0.000 0.000 0.000
Hg 0.000 0.000 0.500
Hg 0.500 0.000 0.000


19.
The following is a DFT calculation (GGA-PBE) of a relaxed structure of Ni4HgSb12.

Computed properties:
Energy in eV/atom: -4.42
Spin magnetization in Bohr magnetons per cell: 0.00
Raw formation energy in eV per atom: -0.133

Unit cell a=8.046 b=8.046 c=8.046 alpha=109.47 beta=109.47 gamma=109.47
Fractional coordinates of all 17 atoms:
Sb 0.338 0.178 0.841
Sb 0.178 0.841 0.338
Ni 0.500 0.000 0.000
Ni 0.500 0.500 0.500
Sb 0.841 0.662 0.503
Sb 0.159 0.338 0.497
Sb 0.662 0.822 0.159
Sb 0.497 0.159 0.338
Ni 0.000 0.500 0.000
Sb 0.841 0.338 0.178
Ni 0.000 0.000 0.500
Hg 0.000 0.000 0.000
Sb 0.822 0.159 0.662
Sb 0.338 0.497 0.159
Sb 0.503 0.841 0.662
Sb 0.662 0.503 0.841
Sb 0.159 0.662 0.822


20.
The following is a DFT calculation (GGA-PBE) of a relaxed structure of Ni3HgSb.

Computed properties:
Energy in eV/atom: -3.61
Spin magnetization in Bohr magnetons per cell: 0.00
Raw formation energy in eV per atom: 0.743

Unit cell a=4.664 b=4.664 c=4.664 alpha=90.00 beta=90.00 gamma=90.00
Fractional coordinates of all 5 atoms:
Hg 0.500 0.500 0.500
Ni 0.000 0.000 0.500
Ni 0.000 0.500 0.000
Sb 0.000 0.000 0.000
Ni 0.500 0.000 0.000


21.
The following is a DFT calculation (GGA-PBE) of a relaxed structure of Ni2HgSb2.

Computed properties:
Energy in eV/atom: -4.03
Spin magnetization in Bohr magnetons per cell: 0.00
Raw formation energy in eV per atom: -0.007

Unit cell a=3.566 b=3.566 c=8.826 alpha=78.35 beta=78.35 gamma=90.00
Fractional coordinates of all 5 atoms:
Ni 0.250 0.750 0.500
Sb 0.359 0.359 0.281
Sb 0.641 0.641 0.719
Hg 0.000 0.000 0.000
Ni 0.750 0.250 0.500


22.
The following is a DFT calculation (GGA-PBE) of a relaxed structure of Ni2HgSb2.

Computed properties:
Energy in eV/atom: -3.80
Spin magnetization in Bohr magnetons per cell: 0.00
Raw formation energy in eV per atom: 0.223

Unit cell a=4.557 b=4.557 c=5.984 alpha=67.62 beta=67.62 gamma=90.00
Fractional coordinates of all 5 atoms:
Hg 0.000 0.000 0.000
Ni 0.624 0.624 0.753
Sb 0.250 0.750 0.500
Ni 0.376 0.376 0.247
Sb 0.750 0.250 0.500


23.
The following is a DFT calculation (GGA-PBE) of a relaxed structure of Ni2HgSb2.

Computed properties:
Energy in eV/atom: -3.84
Spin magnetization in Bohr magnetons per cell: 0.00
Raw formation energy in eV per atom: 0.181

Unit cell a=8.019 b=8.019 c=3.067 alpha=90.00 beta=90.00 gamma=90.00
Fractional coordinates of all 10 atoms:
Sb 0.841 0.659 0.000
Hg 0.500 0.500 0.000
Ni 0.885 0.385 0.500
Ni 0.615 0.885 0.500
Sb 0.341 0.841 0.000
Ni 0.385 0.115 0.500
Hg 0.000 0.000 0.000
Ni 0.115 0.615 0.500
Sb 0.659 0.159 0.000
Sb 0.159 0.341 0.000


24.
The following is a DFT calculation (GGA-PBE) of a relaxed structure of Ni2HgSb2.

Computed properties:
Energy in eV/atom: -3.95
Spin magnetization in Bohr magnetons per cell: 0.00
Raw formation energy in eV per atom: 0.074

Unit cell a=7.245 b=7.245 c=3.565 alpha=90.00 beta=90.00 gamma=90.00
Fractional coordinates of all 10 atoms:
Sb 0.340 0.160 0.500
Sb 0.660 0.840 0.500
Ni 0.627 0.127 0.000
Sb 0.160 0.660 0.500
Hg 0.500 0.500 0.000
Ni 0.127 0.373 0.000
Ni 0.873 0.627 0.000
Sb 0.840 0.340 0.500
Hg 0.000 0.000 0.000
Ni 0.373 0.873 0.000


25.
The following is a DFT calculation (GGA-PBE) of a relaxed structure of NiHg4Sb.

Computed properties:
Energy in eV/atom: -1.28
Spin magnetization in Bohr magnetons per cell: 0.39
Raw formation energy in eV per atom: 0.567

Unit cell a=5.851 b=5.851 c=5.851 alpha=60.00 beta=60.00 gamma=60.00
Last column: magnetic moment on the atom in μB.
Fractional coordinates of all 6 atoms:
Hg 0.873 0.376 0.376  0.01
Sb 0.000 0.000 0.000  0.00
Hg 0.376 0.376 0.376  0.01
Hg 0.376 0.376 0.873  0.01
Hg 0.376 0.873 0.376  0.01
Ni 0.750 0.750 0.750  0.38